## K2Tl2F (PBE)

Data for an optimized crystal structure of K2Tl2F.

Lattice parameters (Å, degrees): 6.939 6.939 7.121 90.00 90.00 90.00
Element x y z (fractional)
K: 0.199 0.301 0.000
K: 0.301 0.801 0.000
K: 0.699 0.199 0.000
K: 0.801 0.699 0.000
Tl: 0.164 0.664 0.500
Tl: 0.336 0.164 0.500
Tl: 0.664 0.836 0.500
Tl: 0.836 0.336 0.500
F: 0.000 0.000 0.000
F: 0.500 0.500 0.000

Computed properties:
Formation energy from raw total energies ... -4.58 eV per formula unit
Space-group type ... No. 127
E ... -2.68 eV/atom
N(E_F) ... 2.531 states/eV/f.u.